[1]
An optimized crystal structure of TaHNF2, computed with PBE.

Theoretical density = 9.08 g/cm³
E above lowest polymorph = 378 meV per atom
E = -6.16 eV/atom

Cell: 3.0522 3.0522 4.5943 Å, 90.00 90.00 90.00°
Closest atoms and distances in Å follow each position.
Positions (direct):
F: 0.5000 0.0000 0.0000  2 H 1.53
F: 0.0000 0.5000 0.0000  2 H 1.53
N: 0.0000 0.0000 0.5000  4 Ta 2.16, 2 H 2.30
H: 0.0000 0.0000 0.0000  4 F 1.53
Ta: 0.5000 0.5000 0.5000  4 N 2.16

***

[2]
An optimized crystal structure of YErMnTl, computed with PBE.

ΔE_f = -26 meV per atom
Theoretical density = 8.59 g/cm³
E = -5.67 eV/atom

Cell: 5.2033 5.2033 5.2033 Å, 60.00 60.00 60.00°
Closest atoms and distances in Å follow each position.
Positions (direct):
Mn: 0.5000 0.5000 0.5000  4 Y 3.19, 4 Er 3.19
Tl: 0.0000 0.0000 0.0000  4 Er 3.19, 4 Y 3.19
Y: 0.2500 0.2500 0.2500  4 Tl 3.19, 4 Mn 3.19
Er: 0.7500 0.7500 0.7500  4 Tl 3.19, 4 Mn 3.19

***

[3]
An optimized crystal structure of CoAs2Os, computed with PBE.

ΔE_f = 296 meV per atom
Theoretical density = 8.54 g/cm³
E above lowest polymorph = 207 meV per atom
E = -6.61 eV/atom

Cell: 5.3712 5.3712 6.5830 Å, 65.92 65.92 90.00°
Closest atoms and distances in Å follow each position.
Positions (direct):
As: 0.3750 0.3913 0.7500  2 Co 2.28, 2 Os 2.38
As: 0.1413 0.6250 0.2500  2 Co 2.28, 2 Os 2.38
As: 0.8750 0.8587 0.7500  2 Co 2.28, 2 Os 2.38
As: 0.6087 0.1250 0.2500  2 Co 2.28, 2 Os 2.38
Os: 0.7500 0.2500 0.5000  4 As 2.38
Os: 0.0000 0.0000 0.0000  4 As 2.38
Co: 0.5000 0.5000 0.0000  4 As 2.28
Co: 0.2500 0.7500 0.5000  4 As 2.28

***

[4]
An optimized crystal structure of NaAcNdMg, computed with PBE.

ΔE_f = 119 meV per atom
Theoretical density = 5.06 g/cm³
E = -2.83 eV/atom

Cell: 5.7932 5.7932 5.7932 Å, 60.00 60.00 60.00°
Closest atoms and distances in Å follow each position.
Positions (direct):
Ac: 0.7500 0.7500 0.7500  4 Na 3.55, 4 Mg 3.55
Na: 0.0000 0.0000 0.0000  4 Ac 3.55, 4 Nd 3.55
Nd: 0.2500 0.2500 0.2500  4 Na 3.55, 4 Mg 3.55
Mg: 0.5000 0.5000 0.5000  4 Ac 3.55, 4 Nd 3.55

***

[5]
An optimized crystal structure of AcGdTe, computed with PBE.

Raw formation energy = -0.61 eV per atom
Theoretical density = 8.05 g/cm³
E above lowest polymorph = 193 meV per atom
E = -7.72 eV/atom

Cell: 4.2481 5.3560 5.3560 Å, 120.00 90.00 90.00°
Closest atoms and distances in Å follow each position.
Positions (direct):
Ac: 0.6660 0.6667 0.3333  6 Te 3.75-3.76, 6 Gd 3.75
Gd: 0.1661 0.0000 0.0000  3 Te 3.09
Te: 0.1678 0.3333 0.6667  3 Gd 3.09

***

[6]
An optimized crystal structure of Pr3Zn2In4, computed with PBE.

ΔE_f = -456 meV per atom
Theoretical density = 7.20 g/cm³
E = -3.55 eV/atom

Cell: 4.8292 6.1805 9.0777 Å, 71.74 74.57 67.00°
Closest atoms and distances in Å follow each position.
Positions (direct):
Pr: 0.6651 0.3318 0.3379  4 Zn 3.29-3.42, 8 In 3.34-3.56
Pr: 0.3349 0.6682 0.6621  4 Zn 3.29-3.42, 8 In 3.34-3.56
Pr: 0.0000 0.0000 0.0000  8 In 3.33-3.44, 4 Zn 3.44
In: 0.0567 0.2680 0.6186  2 Zn 2.74, 1 In 2.95
In: 0.7240 0.6212 0.9307  1 Zn 2.73, 2 In 2.90
In: 0.2760 0.3788 0.0693  1 Zn 2.73, 2 In 2.90
In: 0.9433 0.7320 0.3814  2 Zn 2.74, 1 In 2.95
Zn: 0.6163 0.0539 0.7135  3 In 2.73-2.74
Zn: 0.3837 0.9461 0.2865  3 In 2.73-2.74

***

[7]
An optimized crystal structure of Pt2AuS, computed with PBE.

Raw formation energy = 0.23 eV per atom
Theoretical density = 12.46 g/cm³
E = -4.64 eV/atom

Cell: 4.7501 4.7501 8.0473 Å, 72.83 72.83 90.00°
Closest atoms and distances in Å follow each position.
Positions (direct):
Au: 0.0000 0.0000 0.0000  4 Pt 2.77
Au: 0.7500 0.2500 0.5000  4 Pt 2.77
S: 0.5000 0.5000 0.0000  4 Pt 2.28
S: 0.2500 0.7500 0.5000  4 Pt 2.28
Pt: 0.3750 0.4839 0.7500  2 S 2.28
Pt: 0.5161 0.1250 0.2500  2 S 2.28
Pt: 0.2339 0.6250 0.2500  2 S 2.28
Pt: 0.8750 0.7661 0.7500  2 S 2.28